i.
First-principles (GGA-PBE) data for a relaxed structure of Pr3Tm2Cd2, as listed in Alexandria.

abc: 5.175 3.536 11.845
angles: 90.00 77.38 90.00
Each line ends with the local moment (μB).
Fractional coordinates of all 7 atoms:
Pr 0.149 0.000 0.703  0.04
Pr 0.851 0.000 0.297  0.04
Pr 0.000 0.000 0.000  0.17
Cd 0.570 0.500 0.860  0.00
Tm 0.710 0.500 0.579  0.00
Cd 0.430 0.500 0.140  0.00
Tm 0.290 0.500 0.421  0.00

Crystal system   orthorhombic
Symmetry   Cmmm (65)


ii.
First-principles (GGA-PBE) data for a relaxed structure of Pr3Tm2Cd2, as listed in Alexandria.

abc: 5.496 5.497 8.681
angles: 108.46 90.00 119.99
Fractional coordinates of all 7 atoms:
Tm 0.073 0.146 0.718
Tm 0.927 0.854 0.282
Pr 0.500 0.000 0.000
Cd 0.210 0.419 0.129
Cd 0.790 0.581 0.871
Pr 0.659 0.317 0.476
Pr 0.341 0.683 0.524

Crystal system   trigonal
Symmetry   R-3m (166)


Energies relative to the most stable structure, in eV/atom: i 0.072; ii 0.000.


i.
First-principles (GGA-PBE) data for a relaxed structure of Pr2TmCd2, as listed in Alexandria.

abc: 5.022 6.049 6.049
angles: 71.26 65.47 65.47
Fractional coordinates of all 5 atoms:
Cd 0.500 0.286 0.714
Tm 0.000 0.000 0.000
Pr 0.804 0.696 0.696
Pr 0.196 0.304 0.304
Cd 0.500 0.714 0.286

Crystal system   orthorhombic
Symmetry   Immm (71)


ii.
First-principles (GGA-PBE) data for a relaxed structure of Pr2TmCd2, as listed in Alexandria.

abc: 3.766 5.386 14.440
angles: 90.00 97.47 90.00
Each line ends with the local moment (μB).
Fractional coordinates of all 10 atoms:
Tm 0.850 0.750 0.701  0.00
Cd 0.638 0.750 0.276  0.00
Pr 0.044 0.750 0.087  0.05
Pr 0.233 0.750 0.468  0.00
Tm 0.150 0.250 0.299  0.00
Cd 0.560 0.250 0.119  0.00
Cd 0.362 0.250 0.724  0.00
Pr 0.767 0.250 0.532  0.00
Pr 0.956 0.250 0.913  0.05
Cd 0.440 0.750 0.881  0.00

Crystal system   monoclinic
Symmetry   P2_1/m (11)


Energies relative to the most stable structure, in eV/atom: i 0.049; ii 0.000.


i.
First-principles (GGA-PBE) data for a relaxed structure of Pr6TmCd2, as listed in Alexandria.

abc: 6.113 9.992 9.992
angles: 71.73 83.49 83.49
Fractional coordinates of all 18 atoms:
Pr 0.976 0.440 0.678
Pr 0.476 0.678 0.440
Pr 0.524 0.322 0.560
Pr 0.692 0.237 0.992
Cd 0.409 0.526 0.792
Pr 0.808 0.008 0.763
Pr 0.192 0.992 0.237
Cd 0.591 0.474 0.208
Cd 0.909 0.792 0.526
Pr 0.340 0.893 0.641
Pr 0.024 0.560 0.322
Pr 0.840 0.641 0.893
Pr 0.160 0.359 0.107
Cd 0.091 0.208 0.474
Pr 0.660 0.107 0.359
Tm 0.250 0.130 0.870
Tm 0.750 0.870 0.130
Pr 0.308 0.763 0.008

Crystal system   monoclinic
Symmetry   C2/c (15)


ii.
First-principles (GGA-PBE) data for a relaxed structure of Pr6TmCd2, as listed in Alexandria.

abc: 3.844 6.820 12.053
angles: 75.60 80.82 73.63
Fractional coordinates of all 9 atoms:
Cd 0.360 0.087 0.193
Tm 0.000 0.000 0.000
Cd 0.640 0.913 0.807
Pr 0.690 0.211 0.409
Pr 0.022 0.291 0.665
Pr 0.978 0.709 0.335
Pr 0.684 0.510 0.123
Pr 0.316 0.490 0.877
Pr 0.310 0.789 0.591

Crystal system   monoclinic
Symmetry   C2/m (12)


Energies relative to the most stable structure, in eV/atom: i 0.069; ii 0.000.


i.
First-principles (GGA-PBE) data for a relaxed structure of Pr2Tm2Cd, as listed in Alexandria.

abc: 3.616 3.616 12.014
angles: 98.66 98.66 90.00
Fractional coordinates of all 5 atoms:
Tm 0.584 0.584 0.167
Tm 0.416 0.416 0.833
Cd 0.000 0.000 0.000
Pr 0.192 0.192 0.384
Pr 0.808 0.808 0.616

Crystal system   tetragonal
Symmetry   I4/mmm (139)


ii.
First-principles (GGA-PBE) data for a relaxed structure of Pr2Tm2Cd, as listed in Alexandria.

abc: 5.228 6.824 8.834
angles: 90.00 107.21 90.00
Fractional coordinates of all 10 atoms:
Pr 0.004 0.820 0.007
Tm 0.608 0.080 0.217
Pr 0.201 0.825 0.402
Tm 0.806 0.836 0.612
Tm 0.392 0.580 0.783
Pr 0.799 0.325 0.598
Cd 0.392 0.074 0.784
Tm 0.194 0.336 0.388
Cd 0.608 0.574 0.216
Pr 0.996 0.320 0.993

Crystal system   orthorhombic
Symmetry   Cmc2_1 (36)


Energies relative to the most stable structure, in eV/atom: i 0.000; ii 0.092.


i.
First-principles (GGA-PBE) data for a relaxed structure of Pr3YCd, as listed in Alexandria.

abc: 5.589 9.939 12.137
angles: 104.97 90.00 90.00
Fractional coordinates of all 20 atoms:
Cd 0.250 0.295 0.158
Pr 0.250 0.079 0.575
Pr 0.750 0.785 0.122
Pr 0.750 0.113 0.061
Pr 0.750 0.921 0.425
Cd 0.750 0.205 0.342
Y 0.250 0.521 0.755
Y 0.250 0.021 0.255
Pr 0.750 0.285 0.622
Pr 0.250 0.579 0.075
Pr 0.750 0.613 0.561
Cd 0.250 0.795 0.658
Pr 0.250 0.215 0.878
Cd 0.750 0.705 0.842
Y 0.750 0.479 0.245
Pr 0.250 0.887 0.939
Pr 0.250 0.715 0.378
Pr 0.750 0.421 0.925
Y 0.750 0.979 0.745
Pr 0.250 0.387 0.439

Crystal system   monoclinic
Symmetry   P2_1/m (11)


ii.
First-principles (GGA-PBE) data for a relaxed structure of Pr3YCd, as listed in Alexandria.

abc: 3.776 6.923 13.034
angles: 85.98 89.99 74.18
Fractional coordinates of all 10 atoms:
Pr 0.040 0.921 0.190
Pr 0.636 0.728 0.976
Pr 0.364 0.272 0.024
Pr 0.145 0.710 0.445
Pr 0.855 0.290 0.555
Y 0.226 0.548 0.750
Cd 0.562 0.877 0.630
Cd 0.438 0.123 0.370
Y 0.774 0.452 0.250
Pr 0.960 0.079 0.810

Crystal system   monoclinic
Symmetry   C2/m (12)


Energies relative to the most stable structure, in eV/atom: i 0.016; ii 0.000.


i.
First-principles (GGA-PBE) data for a relaxed structure of PrYCd4, as listed in Alexandria.

abc: 3.485 6.126 8.724
angles: 90.00 90.00 55.24
Fractional coordinates of all 6 atoms:
Cd 0.001 0.497 0.336
Cd 0.501 0.997 0.170
Cd 0.501 0.997 0.826
Cd 0.001 0.497 0.661
Y 0.001 0.997 0.498
Pr 0.501 0.497 0.998

Crystal system   monoclinic
Symmetry   P2/m (10)


ii.
First-principles (GGA-PBE) data for a relaxed structure of PrYCd4, as listed in Alexandria.

abc: 5.974 5.974 5.974
angles: 60.00 60.00 60.00
Fractional coordinates of all 6 atoms:
Cd 0.125 0.625 0.625
Y 0.000 0.000 0.000
Pr 0.250 0.250 0.250
Cd 0.625 0.125 0.625
Cd 0.625 0.625 0.625
Cd 0.625 0.625 0.125

Crystal system   cubic
Symmetry   F-43m (216)


Energies relative to the most stable structure, in eV/atom: i 0.000; ii 0.050.


i.
First-principles (GGA-PBE) data for a relaxed structure of Pr6Y2Cd, as listed in Alexandria.

abc: 6.509 11.519 11.519
angles: 47.61 106.41 106.41
Fractional coordinates of all 18 atoms:
Y 0.918 0.327 0.173
Pr 0.292 0.495 0.348
Pr 0.551 0.995 0.848
Pr 0.418 0.418 0.918
Pr 0.582 0.582 0.082
Pr 0.708 0.505 0.652
Y 0.418 0.173 0.327
Cd 0.250 0.250 0.750
Pr 0.792 0.348 0.495
Y 0.082 0.673 0.827
Pr 0.949 0.152 0.005
Y 0.582 0.827 0.673
Pr 0.082 0.082 0.582
Pr 0.051 0.848 0.995
Pr 0.918 0.918 0.418
Pr 0.449 0.005 0.152
Cd 0.750 0.750 0.250
Pr 0.208 0.652 0.505

Crystal system   monoclinic
Symmetry   C2/c (15)


ii.
First-principles (GGA-PBE) data for a relaxed structure of Pr6Y2Cd, as listed in Alexandria.

abc: 5.101 10.898 10.898
angles: 90.00 90.00 90.00
Fractional coordinates of all 18 atoms:
Cd 0.500 0.500 0.000
Y 0.500 0.837 0.663
Pr 0.500 0.838 0.337
Pr 0.000 0.002 0.832
Pr 0.500 0.168 0.002
Pr 0.000 0.998 0.168
Pr 0.500 0.502 0.668
Pr 0.000 0.668 0.498
Pr 0.000 0.332 0.502
Y 0.000 0.663 0.163
Y 0.500 0.163 0.337
Pr 0.500 0.498 0.332
Cd 0.000 0.000 0.500
Pr 0.500 0.162 0.663
Pr 0.000 0.338 0.163
Pr 0.500 0.832 0.998
Y 0.000 0.337 0.837
Pr 0.000 0.662 0.837

Crystal system   tetragonal
Symmetry   P4_2/mnm (136)


Energies relative to the most stable structure, in eV/atom: i 0.016; ii 0.000.


i.
First-principles (GGA-PBE) data for a relaxed structure of Pr3YCd2, as listed in Alexandria.

abc: 5.022 9.612 9.289
angles: 121.16 105.68 90.00
Fractional coordinates of all 12 atoms:
Pr 0.500 0.750 0.000
Y 0.000 0.000 0.000
Pr 0.827 0.577 0.653
Pr 0.173 0.923 0.347
Pr 0.827 0.077 0.653
Cd 0.337 0.337 0.675
Pr 0.173 0.423 0.347
Cd 0.663 0.163 0.325
Cd 0.337 0.837 0.675
Y 0.000 0.500 0.000
Cd 0.663 0.663 0.325
Pr 0.500 0.250 0.000

Crystal system   orthorhombic
Symmetry   Cmmm (65)


ii.
First-principles (GGA-PBE) data for a relaxed structure of Pr3YCd2, as listed in Alexandria.

abc: 3.814 3.814 12.851
angles: 90.00 90.00 90.00
Each line ends with the local moment (μB).
Fractional coordinates of all 6 atoms:
Pr 0.000 0.000 0.309  0.00
Y 0.500 0.500 0.500  0.00
Pr 0.000 0.000 0.000  0.11
Cd 0.500 0.500 0.844  0.00
Pr 0.000 0.000 0.691  0.00
Cd 0.500 0.500 0.156  0.00

Crystal system   tetragonal
Symmetry   P4/mmm (123)


Energies relative to the most stable structure, in eV/atom: i 0.056; ii 0.000.


i.
First-principles (GGA-PBE) data for a relaxed structure of Pr3Y2Cd2, as listed in Alexandria.

abc: 5.176 3.545 11.997
angles: 90.00 77.54 90.00
Each line ends with the local moment (μB).
Fractional coordinates of all 7 atoms:
Y 0.710 0.500 0.581  0.00
Pr 0.145 0.000 0.710  0.02
Cd 0.431 0.500 0.138  0.00
Cd 0.569 0.500 0.862  0.00
Pr 0.855 0.000 0.290  0.02
Pr 0.000 0.000 0.000  0.09
Y 0.290 0.500 0.419  0.00

Crystal system   orthorhombic
Symmetry   Cmmm (65)


ii.
First-principles (GGA-PBE) data for a relaxed structure of Pr3Y2Cd2, as listed in Alexandria.

abc: 5.535 5.528 8.755
angles: 108.41 90.04 120.02
Fractional coordinates of all 7 atoms:
Pr 0.500 0.000 0.000
Pr 0.341 0.683 0.524
Pr 0.659 0.317 0.476
Cd 0.790 0.580 0.869
Y 0.926 0.852 0.278
Y 0.074 0.148 0.722
Cd 0.210 0.420 0.131

Crystal system   monoclinic
Symmetry   C2/m (12)


Energies relative to the most stable structure, in eV/atom: i 0.104; ii 0.000.


i.
First-principles (GGA-PBE) data for a relaxed structure of Pr2Y2Cd, as listed in Alexandria.

abc: 3.666 3.666 12.032
angles: 98.76 98.76 90.00
Each line ends with the local moment (μB).
Fractional coordinates of all 5 atoms:
Pr 0.807 0.807 0.613  0.02
Y 0.416 0.416 0.832  0.07
Pr 0.193 0.193 0.387  0.02
Y 0.584 0.584 0.168  0.07
Cd 0.000 0.000 0.000  0.01

Crystal system   tetragonal
Symmetry   I4/mmm (139)


ii.
First-principles (GGA-PBE) data for a relaxed structure of Pr2Y2Cd, as listed in Alexandria.

abc: 8.574 6.413 9.105
angles: 69.50 58.41 48.05
Fractional coordinates of all 10 atoms:
Y 0.667 0.369 0.723
Cd 0.842 0.316 0.000
Pr 0.267 0.000 0.569
Y 0.036 0.631 0.723
Pr 0.599 0.000 0.119
Y 0.333 0.631 0.277
Cd 0.158 0.684 0.000
Pr 0.733 0.000 0.431
Y 0.964 0.369 0.277
Pr 0.401 0.000 0.881

Crystal system   monoclinic
Symmetry   C2/m (12)


Energies relative to the most stable structure, in eV/atom: i 0.000; ii 0.074.


i.
First-principles (GGA-PBE) data for a relaxed structure of Pr4YCd, as listed in Alexandria.

abc: 3.726 3.726 14.377
angles: 90.00 90.00 90.00
Fractional coordinates of all 6 atoms:
Pr 0.500 0.500 0.175
Pr 0.000 0.000 0.646
Pr 0.500 0.500 0.825
Y 0.000 0.000 0.000
Cd 0.500 0.500 0.500
Pr 0.000 0.000 0.354

Crystal system   tetragonal
Symmetry   P4/mmm (123)


ii.
First-principles (GGA-PBE) data for a relaxed structure of Pr4YCd, as listed in Alexandria.

abc: 6.477 9.211 8.588
angles: 113.25 100.13 112.04
Fractional coordinates of all 12 atoms:
Cd 0.251 0.001 0.002
Pr 0.242 0.289 0.382
Pr 0.780 0.404 0.237
Y 0.337 0.587 0.173
Pr 0.758 0.711 0.618
Pr 0.220 0.596 0.763
Y 0.663 0.413 0.827
Pr 0.360 0.907 0.618
Cd 0.749 0.999 0.998
Pr 0.957 0.832 0.237
Pr 0.640 0.093 0.382
Pr 0.043 0.168 0.763

Crystal system   monoclinic
Symmetry   C2/c (15)


Energies relative to the most stable structure, in eV/atom: i 0.000; ii 0.092.